Record 1
# InRu

InRu after structural relaxation (PBE, Alexandria).

ΔE_f in eV per atom: 0.303
Crystal system: trigonal

Lattice parameters (Å, degrees): 3.0006 3.0006 27.6611 90.00 90.00 120.00
Space group R-3m (No. 166, hexagonal axes)
Inequivalent atoms, fractional coordinates:
In 0.0000 0.0000 0.1175 x6
Ru 0.0000 0.0000 0.3686 x6

Record 2
# AlAsRuBr2

AlAsRuBr2 after structural relaxation (PBE, Alexandria).

Energy relative to the elements, uncorrected in meV per atom: 777
Offset from the most stable computed form in eV per atom: 0.4791
Crystal system: tetragonal

Lattice parameters (Å, degrees): 4.904 4.904 5.149 90.00 90.00 90.00
Space group P4/mmm (No. 123)
Inequivalent atoms, fractional coordinates:
Al 0.000 0.000 0.000 x1
As 0.000 0.000 0.500 x1
Ru 0.500 0.500 0.500 x1
Br 0.000 0.500 0.000 x2

Record 3
# CuTe2

CuTe2 after structural relaxation (PBE, Alexandria).

Energy relative to the elements, uncorrected in meV per atom: 302
Crystal system: tetragonal

Lattice parameters (Å, degrees): 7.546 7.546 4.960 90.00 90.00 90.00
Space group I4/mcm (No. 140)
Inequivalent atoms, fractional coordinates:
Cu 0.000 0.000 0.250 x4
Te 0.167 0.333 0.000 x8

Record 4
# ZrMo4Ir

ZrMo4Ir after structural relaxation (PBE, Alexandria).

ΔE_f in eV per atom: 0.105
Crystal system: cubic

Lattice parameters (Å, degrees): 7.431 7.431 7.431 90.00 90.00 90.00
Space group F-43m (No. 216)
Inequivalent atoms, fractional coordinates:
Zr 0.000 0.000 0.000 x4
Mo 0.127 0.127 0.373 x16
Ir 0.250 0.250 0.750 x4

Record 5
# BeCrIn2Cl

BeCrIn2Cl after structural relaxation (PBE, Alexandria).

Energy relative to the elements, uncorrected in meV per atom: 647
Crystal system: tetragonal

Lattice parameters (Å, degrees): 4.892 4.892 4.340 90.00 90.00 90.00
Space group P4/mmm (No. 123)
Inequivalent atoms, fractional coordinates:
Be 0.000 0.000 0.000 x1
Cr 0.000 0.000 0.500 x1
In 0.000 0.500 0.000 x2
Cl 0.500 0.500 0.500 x1

Record 6
# CuReRh3

CuReRh3 after structural relaxation (PBE, Alexandria).

Offset from the most stable computed form in eV per atom: 0.0000
ΔE_f in eV per atom: 1.324
Crystal system: cubic

Lattice parameters (Å, degrees): 4.684 4.684 4.684 90.00 90.00 90.00
Space group Pm-3m (No. 221)
Inequivalent atoms, fractional coordinates:
Cu 0.000 0.000 0.000 x1
Re 0.500 0.500 0.500 x1
Rh 0.000 0.500 0.500 x3

Record 7
# Pm3ScPt2

Pm3ScPt2 after structural relaxation (PBE, Alexandria).

Offset from the most stable computed form in eV per atom: 0.0000
ΔE_f in eV per atom: -0.782
Crystal system: monoclinic

Lattice parameters (Å, degrees): 15.337 4.646 4.560 90.00 107.25 90.00
Space group C2/m (No. 12)
Inequivalent atoms, fractional coordinates:
Pm 0.000 0.000 0.000 x2
Pm 0.184 0.000 0.685 x4
Sc 0.000 0.500 0.500 x2
Pt 0.124 0.500 0.123 x4

Record 8
# SnPdCl

SnPdCl after structural relaxation (PBE, Alexandria).

Energy relative to the elements, uncorrected in meV per atom: -487
Crystal system: monoclinic

Lattice parameters (Å, degrees): 6.550 6.652 7.545 90.00 110.42 90.00
Space group P2_1/c (No. 14)
Inequivalent atoms, fractional coordinates:
Sn 0.047 0.165 0.162 x4
Pd 0.233 0.692 0.693 x4
Cl 0.373 0.075 0.707 x4

Record 9
# MnZnSBr2

MnZnSBr2 after structural relaxation (PBE, Alexandria).

Energy relative to the elements, uncorrected in meV per atom: 291
Crystal system: tetragonal

Lattice parameters (Å, degrees): 5.659 5.659 4.472 90.00 90.00 90.00
Space group P4/mmm (No. 123)
Inequivalent atoms, fractional coordinates:
Mn 0.000 0.000 0.000 x1
Zn 0.500 0.500 0.000 x1
S 0.000 0.000 0.500 x1
Br 0.000 0.500 0.500 x2

Record 10
# CoIr2RuC

CoIr2RuC after structural relaxation (PBE, Alexandria).

ΔE_f in eV per atom: 1.619
Crystal system: tetragonal

Lattice parameters (Å, degrees): 4.683 4.683 3.346 90.00 90.00 90.00
Space group P4/mmm (No. 123)
Inequivalent atoms, fractional coordinates:
Co 0.000 0.000 0.000 x1
Ir 0.000 0.500 0.000 x2
Ru 0.500 0.500 0.500 x1
C 0.000 0.000 0.500 x1

Record 11
# HfMg2ZrRu

HfMg2ZrRu after structural relaxation (PBE, Alexandria).

ΔE_f in eV per atom: 0.515
Crystal system: tetragonal

Lattice parameters (Å, degrees): 4.887 4.887 4.881 90.00 90.00 90.00
Space group P4/mmm (No. 123)
Inequivalent atoms, fractional coordinates:
Hf 0.000 0.000 0.000 x1
Mg 0.000 0.500 0.500 x2
Zr 0.500 0.500 0.000 x1
Ru 0.500 0.500 0.500 x1

Record 12
# Pm6Cd5Sb

Pm6Cd5Sb after structural relaxation (PBE, Alexandria).

Energy relative to the elements, uncorrected in meV per atom: -439
Crystal system: orthorhombic

Lattice parameters (Å, degrees): 5.438 7.552 16.418 90.00 90.00 90.00
Space group Immm (No. 71)
Inequivalent atoms, fractional coordinates:
Pm 0.000 0.245 0.000 x4
Pm 0.000 0.253 0.336 x8
Cd 0.000 0.000 0.179 x4
Cd 0.000 0.000 0.500 x2
Cd 0.000 0.500 0.167 x4
Sb 0.000 0.500 0.500 x2

| no. | volume (Å³/f.u.) |
| --- | --- |
| 1 | 35.9 |
| 2 | 123.8 |
| 3 | 70.6 |
| 4 | 102.6 |
| 5 | 103.8 |
| 6 | 102.8 |
| 7 | 155.2 |
| 8 | 77.0 |
| 9 | 143.2 |
| 10 | 73.4 |
| 11 | 116.6 |
| 12 | 337.1 |